Computed, not measured: Li2Nd3Sn4 after structural relaxation at the GGA-PBE level of DFT.

```
Li2Nd3Sn4
1.0
5.8103 -2.3362 0.0000
5.8103 2.3362 0.0000
-2.8032 0.0000 8.5739
Li Nd Sn
2 3 4
Direct
0.1797 0.1797 0.3564
0.8203 0.8203 0.6436
0.1365 0.1365 0.6854
0.5000 0.5000 0.0000
0.8635 0.8635 0.3146
0.2058 0.2058 0.0698
0.4238 0.4238 0.6079
0.5762 0.5762 0.3921
0.7942 0.7942 0.9302
```

Properties
ΔE_f = -0.67 eV per atom
Total magnetic moment = 0.00 Bohr magnetons per cell
Space group = C2/m

=====

Computed, not measured: LiNd2Sn after structural relaxation at the GGA-PBE level of DFT.

```
LiNd2Sn
1.0
5.0420 0.0000 0.0000
0.0000 5.0420 0.0000
0.0000 0.0000 4.3896
Li Nd Sn
1 2 1
Direct
0.0000 0.0000 0.0000
0.0000 0.5000 0.5000
0.5000 0.0000 0.5000
0.5000 0.5000 0.0000
```

Properties
ΔE_f = -0.43 eV per atom
Total magnetic moment = 0.00 Bohr magnetons per cell
Space group = P4/mmm
Energy relative to the lowest polymorph listed for this composition = 0.0200 eV/atom

=====

Computed, not measured: SrLi2NdSn2 after structural relaxation at the GGA-PBE level of DFT.

```
SrLi2NdSn2
1.0
4.8987 0.0000 0.0000
-2.4493 4.2424 0.0000
0.0000 0.0000 7.8984
Sr Li Nd Sn
1 2 1 2
Direct
0.0000 0.0000 0.0000
0.3333 0.6667 0.7054
0.6667 0.3333 0.2946
0.0000 0.0000 0.5000
0.3333 0.6667 0.2840
0.6667 0.3333 0.7160
```

Properties
ΔE_f = -0.61 eV per atom
Total magnetic moment = 0.00 Bohr magnetons per cell
Space group = P-3m1

=====

Computed, not measured: SrLi2Nd2Sn2 after structural relaxation at the GGA-PBE level of DFT.

```
SrLi2Nd2Sn2
1.0
2.4663 1.4239 9.6630
-2.4663 1.4239 9.6630
0.0000 -2.8479 9.6630
Sr Li Nd Sn
1 2 2 2
Direct
0.0000 0.0000 0.0000
0.4118 0.4118 0.4118
0.5882 0.5882 0.5882
0.1305 0.1305 0.1305
0.8695 0.8695 0.8695
0.2548 0.2548 0.2548
0.7452 0.7452 0.7452
```

Properties
ΔE_f = -0.49 eV per atom
Total magnetic moment = 0.00 Bohr magnetons per cell
Space group = R-3m

=====

Computed, not measured: LiNdSnTe3 after structural relaxation at the GGA-PBE level of DFT.

```
LiNdSnTe3
1.0
9.2732 0.0000 0.0000
0.0000 4.3193 0.0000
-2.0640 0.0000 9.5319
Li Nd Sn Te
2 2 2 6
Direct
0.0898 0.2500 0.0899
0.9102 0.7500 0.9101
0.1753 0.2500 0.7303
0.8247 0.7500 0.2697
0.3355 0.7500 0.3412
0.6645 0.2500 0.6588
0.0917 0.2500 0.3796
0.2177 0.7500 0.9832
0.4117 0.7500 0.6615
0.5883 0.2500 0.3385
0.7823 0.2500 0.0168
0.9083 0.7500 0.6204
```

Properties
Total magnetic moment = 0.00 Bohr magnetons per cell
Space group = P2_1/m
ΔE_f (raw) = -915 meV per atom

=====

Computed, not measured: LiNd2Sn3Te6 after structural relaxation at the GGA-PBE level of DFT.

```
LiNd2Sn3Te6
1.0
9.9298 -2.2213 0.0000
9.9298 2.2213 0.0000
-2.4010 0.0000 8.8382
Li Nd Sn Te
1 2 3 6
Direct
0.0000 0.0000 0.0000
0.3338 0.3338 0.6589
0.6662 0.6662 0.3411
0.0000 0.0000 0.5000
0.3399 0.3399 0.1530
0.6601 0.6601 0.8470
0.1674 0.1674 0.5922
0.1687 0.1687 0.0904
0.4984 0.4984 0.7568
0.5016 0.5016 0.2432
0.8313 0.8313 0.9096
0.8326 0.8326 0.4078
```

Properties
Total magnetic moment = 0.00 Bohr magnetons per cell
Space group = C2/m
ΔE_f (raw) = -744 meV per atom

=====

Computed, not measured: LiNdSn2Te4 after structural relaxation at the GGA-PBE level of DFT.

```
LiNdSn2Te4
1.0
7.6886 0.0000 0.0000
0.0000 4.4889 0.0000
-2.5624 0.0000 7.4558
Li Nd Sn Te
1 1 2 4
Direct
0.0000 0.0000 0.0000
0.5000 0.5000 0.0000
0.0000 0.5000 0.5000
0.5000 0.0000 0.5000
0.2444 0.5000 0.2415
0.2470 0.0000 0.7551
0.7530 0.0000 0.2449
0.7556 0.5000 0.7585
```

Properties
Total magnetic moment = 0.00 Bohr magnetons per cell
Space group = P2/m
ΔE_f (raw) = -745 meV per atom

=====

Computed, not measured: Li2NdTh2Sn2 after structural relaxation at the GGA-PBE level of DFT.

```
Li2NdTh2Sn2
1.0
2.4167 1.3953 9.2121
-2.4167 1.3953 9.2121
0.0000 -2.7905 9.2121
Li Nd Th Sn
2 1 2 2
Direct
0.0954 0.0954 0.0954
0.9046 0.9046 0.9046
0.5000 0.5000 0.5000
0.3684 0.3684 0.3684
0.6316 0.6316 0.6316
0.2358 0.2358 0.2358
0.7642 0.7642 0.7642
```

Properties
ΔE_f = -0.30 eV per atom
Total magnetic moment = 0.00 Bohr magnetons per cell
Space group = R-3m

=====

Computed, not measured: LiNdTmSn after structural relaxation at the GGA-PBE level of DFT.

```
LiNdTmSn
1.0
0.0000 3.7252 3.7252
3.7252 0.0000 3.7252
3.7252 3.7252 0.0000
Li Nd Tm Sn
1 1 1 1
Direct
0.0000 0.0000 0.0000
0.7500 0.7500 0.7500
0.2500 0.2500 0.2500
0.5000 0.5000 0.5000
```

Properties
ΔE_f = -0.40 eV per atom
Total magnetic moment = 0.00 Bohr magnetons per cell
Space group = F-43m

=====

Computed, not measured: Li2Nd2TmSn2 after structural relaxation at the GGA-PBE level of DFT.

```
Li2Nd2TmSn2
1.0
2.3907 1.3803 9.1456
-2.3907 1.3803 9.1456
0.0000 -2.7606 9.1456
Li Nd Tm Sn
2 2 1 2
Direct
0.1083 0.1083 0.1083
0.8917 0.8917 0.8917
0.3728 0.3728 0.3728
0.6272 0.6272 0.6272
0.5000 0.5000 0.5000
0.2315 0.2315 0.2315
0.7685 0.7685 0.7685
```

Properties
ΔE_f = -0.45 eV per atom
Total magnetic moment = 0.00 Bohr magnetons per cell
Space group = R-3m

=====

Computed, not measured: Li2NdTm2Sn2 after structural relaxation at the GGA-PBE level of DFT.

```
Li2NdTm2Sn2
1.0
2.4033 1.3876 8.8353
-2.4033 1.3876 8.8353
0.0000 -2.7751 8.8353
Li Nd Tm Sn
2 1 2 2
Direct
0.0877 0.0877 0.0877
0.9123 0.9123 0.9123
0.5000 0.5000 0.5000
0.3692 0.3692 0.3692
0.6308 0.6308 0.6308
0.2412 0.2412 0.2412
0.7588 0.7588 0.7588
```

Properties
ΔE_f = -0.45 eV per atom
Total magnetic moment = 0.00 Bohr magnetons per cell
Space group = R-3m

=====

Computed, not measured: Li2Nd2YSn2 after structural relaxation at the GGA-PBE level of DFT.

```
Li2Nd2YSn2
1.0
2.3976 1.3842 9.2022
-2.3976 1.3842 9.2022
0.0000 -2.7685 9.2022
Li Nd Y Sn
2 2 1 2
Direct
0.1049 0.1049 0.1049
0.8951 0.8951 0.8951
0.3720 0.3720 0.3720
0.6280 0.6280 0.6280
0.5000 0.5000 0.5000
0.2330 0.2330 0.2330
0.7670 0.7670 0.7670
```

Properties
ΔE_f = -0.47 eV per atom
Total magnetic moment = 0.00 Bohr magnetons per cell
Space group = R-3m

=====

Repeat the tenth record exactly.
Computed, not measured: Li2Nd2TmSn2 after structural relaxation at the GGA-PBE level of DFT.

```
Li2Nd2TmSn2
1.0
2.3907 1.3803 9.1456
-2.3907 1.3803 9.1456
0.0000 -2.7606 9.1456
Li Nd Tm Sn
2 2 1 2
Direct
0.1083 0.1083 0.1083
0.8917 0.8917 0.8917
0.3728 0.3728 0.3728
0.6272 0.6272 0.6272
0.5000 0.5000 0.5000
0.2315 0.2315 0.2315
0.7685 0.7685 0.7685
```

Properties
ΔE_f = -0.45 eV per atom
Total magnetic moment = 0.00 Bohr magnetons per cell
Space group = R-3m

=====

> total magnetic moment of number 3 (SrLi2NdSn2)?

0.00 Bohr magnetons per cell